Crystalline AlCu4Ge at its relaxed geometry. Source: Alexandria, functional PBE.

abc: 4.8813 4.8813 4.8813
angles: 60.00 60.00 60.00
Fractional coordinates of all 6 atoms:
Al  0.0000  0.0000  0.0000
Cu  0.1238  0.6254  0.6254
Cu  0.6254  0.1238  0.6254
Cu  0.6254  0.6254  0.1238
Cu  0.6254  0.6254  0.6254
Ge  0.2500  0.2500  0.2500

## Properties
The total energy is -4.09 eV/atom. Its energy above the most stable polymorph in this dataset is 0.018 eV/atom. The calculated volume is 13.71 Å³ per atom. The energy relative to the elements comes out at 0.036 eV/atom.